Record 1
Li7Ni9O18: optimized geometry, PBE with a Hubbard U.

Calculated values
- V (Å³ per cell) = 309.1
- VASP energy (eV per cell) = -164.41
- crystal system = triclinic

a = 5.858 Å, b = 6.453 Å, c = 8.665 Å
α = 77.27°, β = 89.57°, γ = 75.61°
Space group P-1 (No. 2)
Unique sites:
Li  0.000  0.000  0.000 x1
Li  0.002  0.997  0.329 x2
Li  0.340  0.653  0.555 x2
Li  0.344  0.660  0.899 x2
Ni  0.160  0.333  0.112 x2
Ni  0.164  0.333  0.441 x2
Ni  0.169  0.331  0.777 x2
Ni  0.486  0.998  0.333 x2
Ni  0.500  0.000  0.000 x1
O  0.059  0.662  0.721 x2
O  0.066  0.647  0.408 x2
O  0.068  0.648  0.044 x2
O  0.232  0.029  0.159 x2
O  0.256  0.021  0.489 x2
O  0.293  0.999  0.828 x2
O  0.383  0.315  0.278 x2
O  0.390  0.317  0.964 x2
O  0.396  0.318  0.592 x2

---

Record 2
LiNiO2: optimized geometry, PBE with a Hubbard U.

Calculated values
- V (Å³ per cell) = 157.7
- VASP energy (eV per cell) = -76.53
- crystal system = monoclinic

a = 9.779 Å, b = 2.766 Å, c = 7.581 Å
α = 90.00°, β = 129.72°, γ = 90.00°
Space group Cm (No. 8)
Unique sites:
Li  0.000  0.000  0.000 x2
Li  0.241  0.500  0.444 x2
Ni  0.145  0.500  0.822 x2
Ni  0.399  0.000  0.250 x2
O  0.064  0.000  0.351 x2
O  0.234  0.500  0.167 x2
O  0.312  0.000  0.922 x2
O  0.482  0.500  0.717 x2

---

Record 3
LiNi2O: optimized geometry, PBE with a Hubbard U.

Calculated values
- V (Å³ per cell) = 243.0
- VASP energy (eV per cell) = -47.60
- crystal system = tetragonal

a = 4.719 Å, b = 4.719 Å, c = 10.913 Å
α = 90.00°, β = 90.00°, γ = 90.00°
Space group I4_1/amd (No. 141, origin choice 2)
Unique sites:
Li  0.000  0.250  0.375 x4
Ni  0.000  0.000  0.000 x8
O  0.000  0.250  0.875 x4

---

Record 4
Li2Ni2O3: optimized geometry, PBE with a Hubbard U.

Calculated values
- distance to the lowest polymorph of the same formula (meV/atom) = 97
- V (Å³ per cell) = 131.9
- VASP energy (eV per cell) = -65.20
- crystal system = monoclinic

a = 5.210 Å, b = 3.879 Å, c = 6.942 Å
α = 90.00°, β = 109.90°, γ = 90.00°
Space group C2/m (No. 12)
Unique sites:
Li  0.204  0.000  0.091 x4
Ni  0.228  0.500  0.338 x4
O  0.000  0.500  0.000 x2
O  0.130  0.000  0.345 x4

---

Record 5
Li4Ni5O10: optimized geometry, PBE with a Hubbard U.

Calculated values
- distance to the lowest polymorph of the same formula (meV/atom) = 80
- V (Å³ per cell) = 174.8
- VASP energy (eV per cell) = -90.46
- crystal system = triclinic

a = 5.035 Å, b = 5.115 Å, c = 7.608 Å
α = 83.49°, β = 71.39°, γ = 70.26°
Space group P1 (No. 1)
Unique sites:
Li  0.000  0.000  0.000 x1
Li  0.201  0.998  0.587 x1
Li  0.404  0.001  0.204 x1
Li  0.605  0.000  0.783 x1
Ni  0.099  0.504  0.798 x1
Ni  0.303  0.499  0.394 x1
Ni  0.503  0.501  0.992 x1
Ni  0.699  0.504  0.598 x1
Ni  0.902  0.496  0.200 x1
O  0.054  0.276  0.394 x1
O  0.188  0.718  0.180 x1
O  0.253  0.294  0.992 x1
O  0.363  0.737  0.806 x1
O  0.421  0.291  0.608 x1
O  0.559  0.719  0.394 x1
O  0.643  0.278  0.177 x1
O  0.753  0.709  0.993 x1
O  0.819  0.273  0.804 x1
O  0.961  0.716  0.609 x1

---

Record 6
LiNiO2: optimized geometry, PBE with a Hubbard U.

Calculated values
- V (Å³ per cell) = 123.5
- VASP energy (eV per cell) = -50.81
- crystal system = trigonal

a = 2.8783 Å, b = 2.8783 Å, c = 17.2083 Å
α = 90.00°, β = 90.00°, γ = 120.00°
Space group R-3m (No. 166, hexagonal axes)
Unique sites:
Li  0.0000  0.0000  0.0000 x3
Ni  0.0000  0.0000  0.5000 x3
O  0.0000  0.0000  0.4022 x6

---

Record 7
LiNi2O4: optimized geometry, PBE with a Hubbard U.

Calculated values
- distance to the lowest polymorph of the same formula (meV/atom) = 58
- V (Å³ per cell) = 261.1
- VASP energy (eV per cell) = -133.12
- crystal system = hexagonal

a = 5.6538 Å, b = 5.6538 Å, c = 9.4315 Å
α = 90.00°, β = 90.00°, γ = 120.00°
Space group P6_3mc (No. 186)
Unique sites:
Li  0.0000  0.0000  0.0000 x2
Li  0.3333  0.6667  0.1086 x2
Ni  0.1688  0.3376  0.7817 x6
Ni  0.3333  0.6667  0.5073 x2
O  0.0000  0.0000  0.1886 x2
O  0.0340  0.5170  0.6661 x6
O  0.1585  0.3170  0.3909 x6
O  0.3333  0.6667  0.8837 x2

---

Record 8
LiNi3O: optimized geometry, PBE with a Hubbard U.

Calculated values
- distance to the lowest polymorph of the same formula (meV/atom) = 1068
- V (Å³ per cell) = 64.5
- VASP energy (eV per cell) = -8.73
- crystal system = cubic

a = 4.010 Å, b = 4.010 Å, c = 4.010 Å
α = 90.00°, β = 90.00°, γ = 90.00°
Space group Pm-3m (No. 221)
Unique sites:
Li  0.000  0.000  0.000 x1
Ni  0.000  0.000  0.500 x3
O  0.500  0.500  0.500 x1